HfTi2InIr: optimized geometry, GGA-PBEsol.

a b c (Å): 4.526 4.526 5.146
angles (deg): 90.00 90.00 90.00
Space group P4/mmm (No. 123)
Unique sites:
Hf  0.000  0.000  0.000 x1
Ti  0.000  0.500  0.000 x2
In  0.000  0.000  0.500 x1
Ir  0.500  0.500  0.500 x1

Calculated values
For the volume, the calculation gives 105 Å³ per cell. Its crystal system is tetragonal. The density of states at the Fermi level is 4.92 states/eV/f.u. The formation energy comes out at 1.5322 eV per atom. The value obtained for the uncorrected energy is -32.29 eV per cell.